La2AlCd: single point on PBEsol structure, SCAN.

The calculation puts the total energy at -31.4809 eV per atom. The energy relative to the elements is -1.5 eV/f.u. The value obtained for the density of states at the Fermi level is 4.77 states/eV per cell. For the volume, the calculation gives 27.6 Å³ per atom.

The space group is P4/mmm (No. 123) and the conventional cell measures 5.407, 5.407 and 3.780 Å, with angles of 90.00, 90.00 and 90.00 degrees. The distinct sites, in fractional coordinates, are La at (0.000, 0.500, 0.000), Al at (0.000, 0.000, 0.500) and Cd at (0.500, 0.500, 0.500).

***

La2AlCd: single point on PBEsol structure, SCAN.

The calculation puts the total energy at -31.5014 eV per atom. The energy relative to the elements is -1.6 eV/f.u. The value obtained for the density of states at the Fermi level is 3.17 states/eV per cell. For the volume, the calculation gives 26.5 Å³ per atom.

The space group is Pmm2 (No. 25) and the conventional cell measures 3.756, 5.095 and 5.532 Å, with angles of 90.00, 90.00 and 90.00 degrees. The distinct sites, in fractional coordinates, are La at (0.000, 0.000, 0.000), La at (0.000, 0.500, 0.368), Al at (0.500, 0.500, 0.856) and Cd at (0.500, 0.000, 0.527).

***

LaAlCd3: single point on PBEsol structure, SCAN.

The calculation puts the total energy at -27.3659 eV per atom. The energy relative to the elements is 5.3 eV/f.u. The value obtained for the density of states at the Fermi level is 4.84 states/eV per cell. For the volume, the calculation gives 41.4 Å³ per atom.

The space group is Pm-3m (No. 221) and the conventional cell measures 5.918, 5.918 and 5.918 Å, with angles of 90.00, 90.00 and 90.00 degrees. The distinct sites, in fractional coordinates, are La at (0.000, 0.000, 0.000), Al at (0.500, 0.500, 0.500) and Cd at (0.000, 0.000, 0.500).

***

La2AlCd: single point on PBEsol structure, SCAN.

The calculation puts the total energy at -31.4832 eV per atom. The energy relative to the elements is -1.6 eV/f.u. The value obtained for the density of states at the Fermi level is 7.23 states/eV per cell. For the volume, the calculation gives 26.6 Å³ per atom.

The space group is Imm2 (No. 44) and the conventional cell measures 3.776, 5.291 and 10.638 Å, with angles of 90.00, 90.00 and 90.00 degrees. The distinct sites, in fractional coordinates, are La at (0.000, 0.000, 0.000), La at (0.000, 0.500, 0.224), Al at (0.000, 0.000, 0.457) and Cd at (0.000, 0.500, 0.770).

***

La3AlCdS7: single point on PBEsol structure, SCAN.

The calculation puts the total energy at -21.5496 eV per atom. The value obtained for the density of states at the Fermi level is 0.00 states/eV per cell. For the volume, the calculation gives 23.6 Å³ per atom. The calculation puts the energy relative to the elements, uncorrected at -1976.4 meV per atom.

The space group is P6_3 (No. 173) and the conventional cell measures 10.3644, 10.3644 and 6.0826 Å, with angles of 90.00, 90.00 and 120.00 degrees. The distinct sites, in fractional coordinates, are La at (0.1300, 0.7548, 0.0000), Al at (0.3333, 0.6667, 0.5812), Cd at (0.0000, 0.0000, 0.2423), S at (0.0860, 0.8360, 0.4876), S at (0.1061, 0.5164, 0.7324) and S at (0.3333, 0.6667, 0.2134).

***

Li3AlCd: single point on PBEsol structure, SCAN.

The calculation puts the total energy at -8.7395 eV per atom. The energy relative to the elements is 1.6 eV/f.u. The value obtained for the density of states at the Fermi level is 2.05 states/eV per cell. For the volume, the calculation gives 22.5 Å³ per atom.

The space group is Pm-3m (No. 221) and the conventional cell measures 4.830, 4.830 and 4.830 Å, with angles of 90.00, 90.00 and 90.00 degrees. The distinct sites, in fractional coordinates, are Li at (0.000, 0.000, 0.500), Al at (0.500, 0.500, 0.500) and Cd at (0.000, 0.000, 0.000).

***

LiAlCd2: single point on PBEsol structure, SCAN.

The calculation puts the total energy at -17.8369 eV per atom. The energy relative to the elements is -0.4 eV/f.u. The value obtained for the density of states at the Fermi level is 2.38 states/eV per cell. For the volume, the calculation gives 18.4 Å³ per atom.

The space group is Cmmm (No. 65) and the conventional cell measures 6.033, 7.484 and 3.259 Å, with angles of 90.00, 90.00 and 90.00 degrees. The distinct sites, in fractional coordinates, are Li at (0.000, 0.000, 0.000), Al at (0.000, 0.500, 0.000) and Cd at (0.250, 0.250, 0.500).

***

LiAlCd2: single point on PBEsol structure, SCAN.

The calculation puts the total energy at -17.8846 eV per atom. The energy relative to the elements is -0.6 eV/f.u. The value obtained for the density of states at the Fermi level is 1.86 states/eV per cell. For the volume, the calculation gives 18.1 Å³ per atom.

The space group is I4/mmm (No. 139) and the conventional cell measures 4.608, 4.608 and 6.810 Å, with angles of 90.00, 90.00 and 90.00 degrees. The distinct sites, in fractional coordinates, are Li at (0.000, 0.000, 0.000), Al at (0.000, 0.000, 0.500) and Cd at (0.000, 0.500, 0.250).

***

LiAlCd2: single point on PBEsol structure, SCAN.

The calculation puts the total energy at -17.8539 eV per atom. The energy relative to the elements is -0.4 eV/f.u. The value obtained for the density of states at the Fermi level is 1.15 states/eV per cell. For the volume, the calculation gives 18.4 Å³ per atom.

The space group is Pmmm (No. 47) and the conventional cell measures 3.000, 4.086 and 6.001 Å, with angles of 90.00, 90.00 and 90.00 degrees. The distinct sites, in fractional coordinates, are Li at (0.000, 0.000, 0.000), Al at (0.000, 0.000, 0.500) and Cd at (0.500, 0.500, 0.244).

***

LiAlCd2: single point on PBEsol structure, SCAN.

The calculation puts the total energy at -17.8478 eV per atom. The energy relative to the elements is -0.4 eV/f.u. The value obtained for the density of states at the Fermi level is 2.14 states/eV per cell. For the volume, the calculation gives 18.3 Å³ per atom.

The space group is I-4m2 (No. 119) and the conventional cell measures 4.157, 4.157 and 8.465 Å, with angles of 90.00, 90.00 and 90.00 degrees. The distinct sites, in fractional coordinates, are Li at (0.000, 0.000, 0.000), Al at (0.000, 0.500, 0.750), Cd at (0.000, 0.000, 0.500) and Cd at (0.000, 0.500, 0.250).

***

LiAl4Cd: single point on PBEsol structure, SCAN.

The calculation puts the total energy at -10.5512 eV per atom. The energy relative to the elements is 0.5 eV/f.u. The value obtained for the density of states at the Fermi level is 11.13 states/eV per cell. For the volume, the calculation gives 18.6 Å³ per atom.

The space group is F-43m (No. 216) and the conventional cell measures 7.637, 7.637 and 7.637 Å, with angles of 90.00, 90.00 and 90.00 degrees. The distinct sites, in fractional coordinates, are Li at (0.000, 0.000, 0.000), Al at (0.126, 0.126, 0.626) and Cd at (0.250, 0.250, 0.250).

***

LiAl2Cd2: single point on PBEsol structure, SCAN.

The calculation puts the total energy at -15.6842 eV per atom. The energy relative to the elements is 0.3 eV/f.u. The value obtained for the density of states at the Fermi level is 3.77 states/eV per cell. For the volume, the calculation gives 20.1 Å³ per atom.

The space group is P4/mbm (No. 127) and the conventional cell measures 8.224, 8.224 and 2.977 Å, with angles of 90.00, 90.00 and 90.00 degrees. The distinct sites, in fractional coordinates, are Li at (0.000, 0.000, 0.000), Al at (0.129, 0.371, 0.500) and Cd at (0.169, 0.669, 0.000).

***

LiAlCd2: single point on PBEsol structure, SCAN.

The calculation puts the total energy at -17.8315 eV per atom. The energy relative to the elements is -0.4 eV/f.u. The value obtained for the density of states at the Fermi level is 1.36 states/eV per cell. For the volume, the calculation gives 18.4 Å³ per atom.

The space group is Pmm2 (No. 25) and the conventional cell measures 2.961, 4.221 and 5.880 Å, with angles of 90.00, 90.00 and 90.00 degrees. The distinct sites, in fractional coordinates, are Li at (0.000, 0.000, 0.000), Al at (0.500, 0.500, 0.246), Cd at (0.000, 0.000, 0.486) and Cd at (0.500, 0.500, 0.767).